(1)
# TmHfRh2 (GGA-PBE, optimized geometry)
# V	20.22	Å³/atom
# DFT formation energy	-606	meV per atom
# symmetry	R-3m (166)
# magnetization	0.00	Bohr magnetons per cell
# energy above the most stable polymorph in this dataset	1.35	eV per formula unit
data_TmHfRh2
_cell_length_a 3.7125
_cell_length_b 3.7125
_cell_length_c 20.3332
_cell_angle_alpha 90.00
_cell_angle_beta 90.00
_cell_angle_gamma 120.00
_symmetry_space_group_name_H-M 'P 1'
_symmetry_Int_Tables_number 1
_symmetry_space_group_name_Hall 'P 1'
loop_
_atom_site_label
_atom_site_fract_x
_atom_site_fract_y
_atom_site_fract_z
Tm1 0.0000 0.0000 0.0000
Tm2 0.3333 0.6667 0.6667
Tm3 0.6667 0.3333 0.3333
Hf1 0.0000 0.0000 0.5000
Hf2 0.3333 0.6667 0.1667
Hf3 0.6667 0.3333 0.8333
Rh1 0.0000 0.0000 0.2438
Rh2 0.0000 0.0000 0.7562
Rh3 0.3333 0.6667 0.4229
Rh4 0.3333 0.6667 0.9105
Rh5 0.6667 0.3333 0.0895
Rh6 0.6667 0.3333 0.5771


(2)
# TmHfRh4 (GGA-PBE, optimized geometry)
# V	18.22	Å³/atom
# DFT formation energy	-395	meV per atom
# symmetry	Pmmm (47)
# magnetization	0.00	Bohr magnetons per cell
# energy above the most stable polymorph in this dataset	1.62	eV per formula unit
data_TmHfRh4
_cell_length_a 3.1166
_cell_length_b 4.5607
_cell_length_c 7.6908
_cell_angle_alpha 90.00
_cell_angle_beta 90.00
_cell_angle_gamma 90.00
_symmetry_space_group_name_H-M 'P 1'
_symmetry_Int_Tables_number 1
_symmetry_space_group_name_Hall 'P 1'
loop_
_atom_site_label
_atom_site_fract_x
_atom_site_fract_y
_atom_site_fract_z
Tm1 0.0000 0.0000 0.0000
Hf1 0.5000 0.5000 0.5000
Rh1 0.0000 0.5000 0.2246
Rh2 0.0000 0.5000 0.7754
Rh3 0.5000 0.0000 0.3010
Rh4 0.5000 0.0000 0.6990


(3)
# TmHf4Rh5 (GGA-PBE, optimized geometry)
# V	17.89	Å³/atom
# DFT formation energy	-903	meV per atom
# symmetry	P4/mmm (123)
# magnetization	0.00	Bohr magnetons per cell
data_TmHf4Rh5
_cell_length_a 3.2856
_cell_length_b 3.2856
_cell_length_c 16.5754
_cell_angle_alpha 90.00
_cell_angle_beta 90.00
_cell_angle_gamma 90.00
_symmetry_space_group_name_H-M 'P 1'
_symmetry_Int_Tables_number 1
_symmetry_space_group_name_Hall 'P 1'
loop_
_atom_site_label
_atom_site_fract_x
_atom_site_fract_y
_atom_site_fract_z
Tm1 0.0000 0.0000 0.0000
Hf1 0.0000 0.0000 0.2044
Hf2 0.0000 0.0000 0.4021
Hf3 0.0000 0.0000 0.5979
Hf4 0.0000 0.0000 0.7956
Rh1 0.5000 0.5000 0.1146
Rh2 0.5000 0.5000 0.3061
Rh3 0.5000 0.5000 0.5000
Rh4 0.5000 0.5000 0.6939
Rh5 0.5000 0.5000 0.8854


(4)
# TmHfRh (GGA-PBE, optimized geometry)
# V	21.08	Å³/atom
# DFT formation energy	-517	meV per atom
# symmetry	I4mm (107)
# magnetization	1.65	Bohr magnetons per cell
data_TmHfRh
_cell_length_a 3.3646
_cell_length_b 3.3646
_cell_length_c 11.1729
_cell_angle_alpha 90.00
_cell_angle_beta 90.00
_cell_angle_gamma 90.00
_symmetry_space_group_name_H-M 'P 1'
_symmetry_Int_Tables_number 1
_symmetry_space_group_name_Hall 'P 1'
loop_
_atom_site_label
_atom_site_fract_x
_atom_site_fract_y
_atom_site_fract_z
Tm1 0.0000 0.0000 0.0000
Tm2 0.5000 0.5000 0.5000
Hf1 0.0000 0.0000 0.2906
Hf2 0.5000 0.5000 0.7906
Rh1 0.0000 0.0000 0.6660
Rh2 0.5000 0.5000 0.1660


(5)
# Tm2HfRh (GGA-PBE, optimized geometry)
# V	22.61	Å³/atom
# DFT formation energy	-372	meV per atom
# symmetry	P4/mmm (123)
# magnetization	0.00	Bohr magnetons per cell
data_Tm2HfRh
_cell_length_a 3.4046
_cell_length_b 3.4046
_cell_length_c 7.8029
_cell_angle_alpha 90.00
_cell_angle_beta 90.00
_cell_angle_gamma 90.00
_symmetry_space_group_name_H-M 'P 1'
_symmetry_Int_Tables_number 1
_symmetry_space_group_name_Hall 'P 1'
loop_
_atom_site_label
_atom_site_fract_x
_atom_site_fract_y
_atom_site_fract_z
Tm1 0.0000 0.0000 0.2103
Tm2 0.0000 0.0000 0.7897
Hf1 0.5000 0.5000 0.5000
Rh1 0.5000 0.5000 0.0000


(6)
# Tm2HfRh3 (GGA-PBE, optimized geometry)
# V	18.65	Å³/atom
# DFT formation energy	-933	meV per atom
# symmetry	P-3m1 (164)
# magnetization	0.00	Bohr magnetons per cell
data_Tm2HfRh3
_cell_length_a 4.7113
_cell_length_b 4.7113
_cell_length_c 5.8203
_cell_angle_alpha 90.00
_cell_angle_beta 90.00
_cell_angle_gamma 120.00
_symmetry_space_group_name_H-M 'P 1'
_symmetry_Int_Tables_number 1
_symmetry_space_group_name_Hall 'P 1'
loop_
_atom_site_label
_atom_site_fract_x
_atom_site_fract_y
_atom_site_fract_z
Tm1 0.3333 0.6667 0.1653
Tm2 0.6667 0.3333 0.8347
Hf1 0.0000 0.0000 0.5000
Rh1 0.0000 0.0000 0.0000
Rh2 0.3333 0.6667 0.6485
Rh3 0.6667 0.3333 0.3515


> Look up the V of the sixth one.

18.65 Å³/atom